[1]
A relaxed Ac8Co3OsI4 crystal. Source: Alexandria via LeMat-Bulk, functional GGA-PBE.

The space group is C2/m (No. 12) and the conventional cell measures 14.878, 8.585 and 9.963 Å, with angles of 90.00, 119.94 and 90.00 degrees. The inequivalent atoms are Ac at (0.022, 0.249, 0.317), Ac at (0.227, 0.000, 0.680), Ac at (0.228, 0.500, 0.683), Co at (0.000, 0.000, 0.500), Co at (0.250, 0.250, 0.500), Os at (0.000, 0.500, 0.500), I at (0.000, 0.000, 0.000), I at (0.000, 0.500, 0.000) and I at (0.250, 0.250, 0.000).

The calculation puts the total energy at -5.088 eV per atom. For the formation energy (no corrections), the calculation gives -612 meV per atom.



[2]
A relaxed Ac8CoOs3I3 crystal. Source: Alexandria via LeMat-Bulk, functional GGA-PBE.

The space group is C2/m (No. 12) and the conventional cell measures 15.071, 8.691 and 10.051 Å, with angles of 90.00, 120.07 and 90.00 degrees. The inequivalent atoms are Ac at (0.024, 0.248, 0.323), Ac at (0.225, 0.000, 0.678), Ac at (0.228, 0.500, 0.683), Co at (0.000, 0.000, 0.500), Os at (0.000, 0.500, 0.500), Os at (0.250, 0.250, 0.500), I at (0.000, 0.000, 0.000) and I at (0.250, 0.250, 0.000).

The calculation puts the total energy at -5.669 eV per atom. For the formation energy (no corrections), the calculation gives -448 meV per atom.



What did the second record say?
A relaxed Ac8CoOs3I3 crystal. Source: Alexandria via LeMat-Bulk, functional GGA-PBE.

The space group is C2/m (No. 12) and the conventional cell measures 15.071, 8.691 and 10.051 Å, with angles of 90.00, 120.07 and 90.00 degrees. The inequivalent atoms are Ac at (0.024, 0.248, 0.323), Ac at (0.225, 0.000, 0.678), Ac at (0.228, 0.500, 0.683), Co at (0.000, 0.000, 0.500), Os at (0.000, 0.500, 0.500), Os at (0.250, 0.250, 0.500), I at (0.000, 0.000, 0.000) and I at (0.250, 0.250, 0.000).

The calculation puts the total energy at -5.669 eV per atom. For the formation energy (no corrections), the calculation gives -448 meV per atom.



- Among the records above, which one has the lowest formation energy (no corrections)?
  Ac8Co3OsI4